P.
## BiPd3Pt (PBE)

Data for crystalline BiPd3Pt at its relaxed geometry.

Magnetic moment: 0.00 μB/f.u.
DOS at the Fermi energy: 6.360 states/eV per cell
ρ: 9.77 g/cm3

Cell and atoms, written as CIF:
```
data_BiPd3Pt
_chemical_formula_sum 'Bi1 Pd3 Pt1'
_cell_length_a 4.9727
_cell_length_b 4.9727
_cell_length_c 4.9727
_cell_angle_alpha 90.00
_cell_angle_beta 90.00
_cell_angle_gamma 90.00
_symmetry_space_group_name_H-M 'P m -3 m'
_symmetry_Int_Tables_number 221
_symmetry_space_group_name_Hall '-P 4 2 3'
loop_
_atom_site_label
_atom_site_type_symbol
_atom_site_fract_x
_atom_site_fract_y
_atom_site_fract_z
Bi1 Bi 0.0000 0.0000 0.0000
Pd1 Pd 0.0000 0.0000 0.5000
Pt1 Pt 0.5000 0.5000 0.5000
```

=====

Q.
## BiPd3Pt (PBE)

Data for crystalline BiPd3Pt at its relaxed geometry.

Magnetic moment: 0.00 μB/f.u.
DOS at the Fermi energy: 15.030 states/eV per cell
ρ: 13.28 g/cm3

Cell and atoms, written as CIF:
```
data_BiPd3Pt
_chemical_formula_sum 'Bi4 Pd12 Pt4'
_cell_length_a 6.2284
_cell_length_b 6.1663
_cell_length_c 10.7728
_cell_angle_alpha 90.00
_cell_angle_beta 119.02
_cell_angle_gamma 90.00
_symmetry_space_group_name_H-M 'P 1 21/c 1'
_symmetry_Int_Tables_number 14
_symmetry_space_group_name_Hall '-P 2ybc'
loop_
_atom_site_label
_atom_site_type_symbol
_atom_site_fract_x
_atom_site_fract_y
_atom_site_fract_z
Bi1 Bi 0.1784 0.1613 0.1633
Pd1 Pd 0.0638 0.0625 0.3913
Pd2 Pd 0.3305 0.7461 0.6039
Pd3 Pd 0.4578 0.6478 0.8872
Pt1 Pt 0.2710 0.0427 0.8892
```

=====

Quick one: least stable of them? P

=====

P.
## BiPd4Pt (PBE)

Data for crystalline BiPd4Pt at its relaxed geometry.

Magnetic moment: 0.00 μB/f.u.
DOS at the Fermi energy: 11.651 states/eV per cell
ρ: 13.24 g/cm3

Cell and atoms, written as CIF:
```
data_BiPd4Pt
_chemical_formula_sum 'Bi2 Pd8 Pt2'
_cell_length_a 5.3993
_cell_length_b 5.5896
_cell_length_c 6.9577
_cell_angle_alpha 90.00
_cell_angle_beta 97.73
_cell_angle_gamma 90.00
_symmetry_space_group_name_H-M 'P 1 21/m 1'
_symmetry_Int_Tables_number 11
_symmetry_space_group_name_Hall '-P 2yb'
loop_
_atom_site_label
_atom_site_type_symbol
_atom_site_fract_x
_atom_site_fract_y
_atom_site_fract_z
Bi1 Bi 0.2225 0.2500 0.1584
Pd1 Pd 0.1825 0.7500 0.1376
Pd2 Pd 0.3070 0.0025 0.8044
Pd3 Pd 0.4892 0.7500 0.4868
Pt1 Pt 0.0021 0.2500 0.5023
```

=====

Q.
## BiPd4Pt (PBE)

Data for crystalline BiPd4Pt at its relaxed geometry.

Magnetic moment: 0.00 μB/f.u.
DOS at the Fermi energy: 10.299 states/eV per cell
ρ: 13.57 g/cm3

Cell and atoms, written as CIF:
```
data_BiPd4Pt
_chemical_formula_sum 'Bi2 Pd8 Pt2'
_cell_length_a 4.9826
_cell_length_b 8.6976
_cell_length_c 4.9276
_cell_angle_alpha 90.00
_cell_angle_beta 108.00
_cell_angle_gamma 90.00
_symmetry_space_group_name_H-M 'C 1 2/m 1'
_symmetry_Int_Tables_number 12
_symmetry_space_group_name_Hall '-C 2y'
loop_
_atom_site_label
_atom_site_type_symbol
_atom_site_fract_x
_atom_site_fract_y
_atom_site_fract_z
Bi1 Bi 0.0000 0.0000 0.0000
Pd1 Pd 0.0000 0.1717 0.5000
Pd2 Pd 0.0000 0.3356 0.0000
Pt1 Pt 0.0000 0.5000 0.5000
```

=====

Quick one: least stable of them? P

=====

P.
## BiPdPt3 (PBE)

Data for crystalline BiPdPt3 at its relaxed geometry.

Magnetic moment: 0.40 μB/f.u.
DOS at the Fermi energy: 9.370 states/eV per cell
ρ: 13.00 g/cm3

Cell and atoms, written as CIF:
```
data_BiPdPt3
_chemical_formula_sum 'Bi1 Pd1 Pt3'
_cell_length_a 4.8630
_cell_length_b 4.8630
_cell_length_c 4.8630
_cell_angle_alpha 90.00
_cell_angle_beta 90.00
_cell_angle_gamma 90.00
_symmetry_space_group_name_H-M 'P m -3 m'
_symmetry_Int_Tables_number 221
_symmetry_space_group_name_Hall '-P 4 2 3'
loop_
_atom_site_label
_atom_site_type_symbol
_atom_site_fract_x
_atom_site_fract_y
_atom_site_fract_z
Bi1 Bi 0.0000 0.0000 0.0000
Pd1 Pd 0.5000 0.5000 0.5000
Pt1 Pt 0.0000 0.5000 0.5000
```

=====

Q.
## BiPdPt3 (PBE)

Data for crystalline BiPdPt3 at its relaxed geometry.

Magnetic moment: 0.00 μB/f.u.
DOS at the Fermi energy: 8.010 states/eV per cell
ρ: 11.69 g/cm3

Cell and atoms, written as CIF:
```
data_BiPdPt3
_chemical_formula_sum 'Bi1 Pd1 Pt3'
_cell_length_a 5.0386
_cell_length_b 5.0386
_cell_length_c 5.0386
_cell_angle_alpha 90.00
_cell_angle_beta 90.00
_cell_angle_gamma 90.00
_symmetry_space_group_name_H-M 'P m -3 m'
_symmetry_Int_Tables_number 221
_symmetry_space_group_name_Hall '-P 4 2 3'
loop_
_atom_site_label
_atom_site_type_symbol
_atom_site_fract_x
_atom_site_fract_y
_atom_site_fract_z
Bi1 Bi 0.0000 0.0000 0.0000
Pd1 Pd 0.5000 0.5000 0.5000
Pt1 Pt 0.0000 0.0000 0.5000
```

=====

Quick one: least stable of them? Q

=====

P.
## BiPd2Pt2 (PBE)

Data for crystalline BiPd2Pt2 at its relaxed geometry.

Magnetic moment: 0.00 μB/f.u.
DOS at the Fermi energy: 10.613 states/eV per cell
ρ: 14.12 g/cm3

Cell and atoms, written as CIF:
```
data_BiPd2Pt2
_chemical_formula_sum 'Bi2 Pd4 Pt4'
_cell_length_a 3.7877
_cell_length_b 3.7877
_cell_length_c 13.3117
_cell_angle_alpha 90.00
_cell_angle_beta 90.00
_cell_angle_gamma 90.00
_symmetry_space_group_name_H-M 'I 4/m m m'
_symmetry_Int_Tables_number 139
_symmetry_space_group_name_Hall '-I 4 2'
loop_
_atom_site_label
_atom_site_type_symbol
_atom_site_fract_x
_atom_site_fract_y
_atom_site_fract_z
Bi1 Bi 0.0000 0.0000 0.0000
Pd1 Pd 0.0000 0.5000 0.2500
Pt1 Pt 0.0000 0.0000 0.3983
```

=====

Q.
## BiPd2Pt2 (PBE)

Data for crystalline BiPd2Pt2 at its relaxed geometry.

Magnetic moment: 0.00 μB/f.u.
DOS at the Fermi energy: 10.843 states/eV per cell
ρ: 14.10 g/cm3

Cell and atoms, written as CIF:
```
data_BiPd2Pt2
_chemical_formula_sum 'Bi2 Pd4 Pt4'
_cell_length_a 3.7305
_cell_length_b 3.7305
_cell_length_c 13.7467
_cell_angle_alpha 90.00
_cell_angle_beta 90.00
_cell_angle_gamma 90.00
_symmetry_space_group_name_H-M 'I 4/m m m'
_symmetry_Int_Tables_number 139
_symmetry_space_group_name_Hall '-I 4 2'
loop_
_atom_site_label
_atom_site_type_symbol
_atom_site_fract_x
_atom_site_fract_y
_atom_site_fract_z
Bi1 Bi 0.0000 0.0000 0.0000
Pd1 Pd 0.0000 0.0000 0.3993
Pt1 Pt 0.0000 0.5000 0.2500
```

=====

Quick one: least stable of them? P

=====

P.
## BiPd6Pt (PBE)

Data for crystalline BiPd6Pt at its relaxed geometry.

Magnetic moment: 0.00 μB/f.u.
DOS at the Fermi energy: 13.507 states/eV per cell
ρ: 11.96 g/cm3

Cell and atoms, written as CIF:
```
data_BiPd6Pt
_chemical_formula_sum 'Bi2 Pd12 Pt2'
_cell_length_a 5.8585
_cell_length_b 10.1530
_cell_length_c 5.5033
_cell_angle_alpha 90.00
_cell_angle_beta 117.86
_cell_angle_gamma 90.00
_symmetry_space_group_name_H-M 'C 1 2/m 1'
_symmetry_Int_Tables_number 12
_symmetry_space_group_name_Hall '-C 2y'
loop_
_atom_site_label
_atom_site_type_symbol
_atom_site_fract_x
_atom_site_fract_y
_atom_site_fract_z
Bi1 Bi 0.0000 0.0000 0.0000
Pd1 Pd 0.0035 0.2397 0.7463
Pd2 Pd 0.0032 0.5000 0.2491
Pt1 Pt 0.0000 0.0000 0.5000
```

=====

Q.
## BiPd6Pt (PBE)

Data for crystalline BiPd6Pt at its relaxed geometry.

Magnetic moment: 0.00 μB/f.u.
DOS at the Fermi energy: 13.833 states/eV per cell
ρ: 13.13 g/cm3

Cell and atoms, written as CIF:
```
data_BiPd6Pt
_chemical_formula_sum 'Bi1 Pd6 Pt1'
_cell_length_a 5.6867
_cell_length_b 5.6867
_cell_length_c 4.0787
_cell_angle_alpha 90.00
_cell_angle_beta 90.00
_cell_angle_gamma 90.00
_symmetry_space_group_name_H-M 'P 4/m m m'
_symmetry_Int_Tables_number 123
_symmetry_space_group_name_Hall '-P 4 2'
loop_
_atom_site_label
_atom_site_type_symbol
_atom_site_fract_x
_atom_site_fract_y
_atom_site_fract_z
Bi1 Bi 0.0000 0.0000 0.0000
Pd1 Pd 0.0000 0.5000 0.0000
Pd2 Pd 0.2562 0.2562 0.5000
Pt1 Pt 0.5000 0.5000 0.0000
```

=====

Quick one: least stable of them? P